(1)
A plane-wave DFT calculation with SCAN was carried out for a crystal of Tl3FeP relaxed with PBEsol.

E, eV per atom: -48.110
Magnetic moment, μB/f.u.: 3.02
Calculated volume, Å³/atom: 29.2
SG: Pm-3m

Lattice parameters (Å, degrees): 5.2650 5.2650 5.2650 90.00 90.00 90.00
Last column: nearest neighbours and their distance in Å.
Sites, in units of the cell vectors:
1 Tl 0.0000 0.0000 0.5000  2 P 2.63
2 Tl 0.0000 0.5000 0.0000  2 P 2.63
3 Tl 0.5000 0.0000 0.0000  2 P 2.63
4 Fe 0.5000 0.5000 0.5000  12 Tl 3.72
5 P 0.0000 0.0000 0.0000  6 Tl 2.63


(2)
A plane-wave DFT calculation with SCAN was carried out for a crystal of ZrInSb2Te relaxed with PBEsol.

E, eV per atom: -35.115
Uncorrected formation energy, meV/atom: 57
Magnetic moment, μB/f.u.: 0.00
Calculated volume, Å³/atom: 33.5
SG: P4/mmm

Lattice parameters (Å, degrees): 5.5196 5.5196 5.5025 90.00 90.00 90.00
Last column: nearest neighbours and their distance in Å.
Sites, in units of the cell vectors:
1 Zr 0.0000 0.0000 0.0000  2 Te 2.75, 4 Sb 2.76
2 In 0.5000 0.5000 0.5000  8 Sb 3.90, 4 Te 3.90
3 Sb 0.0000 0.5000 0.0000  2 Zr 2.76
4 Sb 0.5000 0.0000 0.0000  2 Zr 2.76
5 Te 0.0000 0.0000 0.5000  2 Zr 2.75


(3)
A plane-wave DFT calculation with SCAN was carried out for a crystal of GeH2N relaxed with PBEsol.

E, eV per atom: -8.139
Magnetic moment, μB/f.u.: 0.00
Calculated volume, Å³/atom: 7.4
SG: Fd-3m

Lattice parameters (Å, degrees): 4.3752 4.3752 4.3752 60.00 60.00 60.00
Last column: nearest neighbours and their distance in Å.
Sites, in units of the cell vectors:
1 Ge 0.1250 0.1250 0.1250  12 H 2.57, 4 N 2.68, 4 Ge 2.68
2 Ge 0.8750 0.8750 0.8750  12 H 2.57, 4 N 2.68, 4 Ge 2.68
3 H 0.0000 0.5000 0.5000  2 N 1.34
4 H 0.5000 0.0000 0.5000  2 N 1.34
5 H 0.5000 0.5000 0.0000  2 N 1.34
6 H 0.5000 0.5000 0.5000  2 N 1.34
7 N 0.3750 0.3750 0.3750  4 H 1.34
8 N 0.6250 0.6250 0.6250  4 H 1.34


(4)
A plane-wave DFT calculation with SCAN was carried out for a crystal of BaPAu relaxed with PBEsol.

E, eV per atom: -40.760
Magnetic moment, μB/f.u.: 0.00
Calculated volume, Å³/atom: 25.0
SG: P6_3/mmc

Lattice parameters (Å, degrees): 4.3541 4.3541 9.1284 90.00 90.00 120.00
Last column: nearest neighbours and their distance in Å.
Sites, in units of the cell vectors:
1 Ba 0.0000 0.0000 0.0000  6 P 3.40, 6 Au 3.40
2 Ba 0.0000 0.0000 0.5000  6 Au 3.40, 6 P 3.40
3 P 0.3333 0.6667 0.2500  3 Au 2.51
4 P 0.6667 0.3333 0.7500  3 Au 2.51
5 Au 0.3333 0.6667 0.7500  3 P 2.51
6 Au 0.6667 0.3333 0.2500  3 P 2.51


Which formula does entry 3 have?
GeH2N


Among the records above, which one has the lowest calculated volume?
GeH2N


Number 4 is which compound?
BaPAu